# 1
Computed, not measured: a relaxed structure of ZrTe at the PBE level of DFT.

a = 5.0550 Å, b = 3.5590 Å, c = 5.0583 Å
α = 90.00°, β = 90.00°, γ = 90.00°
Last column: nearest neighbours and their distance in Å.
Sites, in units of the cell vectors:
Zr: 0.2500 0.0000 0.2492  8 Te 3.09-3.10
Zr: 0.7500 0.0000 0.7508  8 Te 3.09-3.10
Te: 0.2500 0.5000 0.7503  8 Zr 3.09-3.10
Te: 0.7500 0.5000 0.2497  8 Zr 3.09-3.10

## Properties
Calculated total energy   -6.60 eV/atom
Space-group type   No. 51

---

# 2
Computed, not measured: a relaxed structure of LiPaRe at the PBE level of DFT.

a = 4.2332 Å, b = 4.2332 Å, c = 4.2332 Å
α = 60.00°, β = 60.00°, γ = 60.00°
Last column: nearest neighbours and their distance in Å.
Sites, in units of the cell vectors:
Li: 0.0000 0.0000 0.0000  4 Re 2.59, 4 Pa 2.59
Pa: 0.7500 0.7500 0.7500  4 Li 2.59
Re: 0.2500 0.2500 0.2500  4 Li 2.59

## Properties
E above lowest polymorph   0.00 kcal/mol of atoms
Calculated total energy   -7.33 eV/atom
Space-group type   No. 216

---

# 3
Computed, not measured: a relaxed structure of SrZn2Ag at the PBE level of DFT.

a = 4.2973 Å, b = 7.1703 Å, c = 5.7970 Å
α = 90.00°, β = 90.00°, γ = 90.00°
Last column: nearest neighbours and their distance in Å.
Sites, in units of the cell vectors:
Sr: 0.0000 0.1759 0.0000  5 Zn 3.20-3.30, 4 Ag 3.48
Sr: 0.0000 0.8241 0.5000  5 Zn 3.20-3.30, 4 Ag 3.48
Zn: 0.0000 0.3640 0.4998  2 Zn 2.61, 4 Ag 2.77
Zn: 0.0000 0.6360 0.9998  2 Zn 2.61, 4 Ag 2.77
Zn: 0.5000 0.1584 0.4977  2 Zn 2.61, 2 Ag 2.84-2.85
Zn: 0.5000 0.8416 0.9977  2 Zn 2.61, 2 Ag 2.84-2.85
Ag: 0.5000 0.4994 0.7496  6 Zn 2.77-2.85, 2 Ag 2.90
Ag: 0.5000 0.5006 0.2496  6 Zn 2.77-2.85, 2 Ag 2.90

## Properties
Calculated total energy   -1.97 eV/atom
Space-group type   No. 26

---

# 4
Computed, not measured: a relaxed structure of PrZrSi2 at the PBE level of DFT.

a = 3.8425 Å, b = 7.8118 Å, c = 5.5802 Å
α = 90.00°, β = 90.00°, γ = 90.00°
Last column: nearest neighbours and their distance in Å.
Sites, in units of the cell vectors:
Pr: 0.0000 0.0731 0.0000  7 Si 3.00-3.32
Pr: 0.5000 0.9269 0.5000  7 Si 3.00-3.32
Zr: 0.0000 0.5642 0.2601  7 Si 2.76-3.04
Zr: 0.5000 0.4358 0.7601  7 Si 2.76-3.04
Si: 0.0000 0.2372 0.5116  2 Si 2.50
Si: 0.0000 0.6889 0.7450  2 Si 2.50, 2 Zr 2.76
Si: 0.5000 0.3111 0.2450  2 Si 2.50, 2 Zr 2.76
Si: 0.5000 0.7628 0.0116  2 Si 2.50

## Properties
E above lowest polymorph   0.00 kcal/mol of atoms
Calculated total energy   -6.81 eV/atom
Space-group type   No. 31

---

# 5
Computed, not measured: a relaxed structure of ZrInCoCu at the PBE level of DFT.

a = 4.5503 Å, b = 4.5503 Å, c = 4.5503 Å
α = 60.00°, β = 60.00°, γ = 60.00°
Last column: nearest neighbours and their distance in Å.
Sites, in units of the cell vectors:
Zr: 0.0000 0.0000 0.0000  4 Co 2.79, 4 In 2.79
In: 0.2500 0.2500 0.2500  4 Zr 2.79, 4 Cu 2.79
Co: 0.7500 0.7500 0.7500  4 Zr 2.79, 4 Cu 2.79
Cu: 0.5000 0.5000 0.5000  4 In 2.79, 4 Co 2.79

## Properties
E above lowest polymorph   6.35 kcal/mol of atoms
Calculated total energy   -5.45 eV/atom
Space-group type   No. 216

---

# 6
Computed, not measured: a relaxed structure of MgNbOs2 at the PBE level of DFT.

a = 3.1766 Å, b = 3.1766 Å, c = 6.2279 Å
α = 90.00°, β = 90.00°, γ = 90.00°
Last column: nearest neighbours and their distance in Å.
Sites, in units of the cell vectors:
Mg: 0.0000 0.0000 0.0000  8 Os 2.75
Nb: 0.0000 0.0000 0.5000  8 Os 2.72
Os: 0.5000 0.5000 0.2550  4 Nb 2.72, 4 Mg 2.75
Os: 0.5000 0.5000 0.7450  4 Nb 2.72, 4 Mg 2.75

## Properties
Calculated total energy   -8.59 eV/atom
Space-group type   No. 123

---

# 7
Computed, not measured: a relaxed structure of Hf4SiGeC2 at the PBE level of DFT.

a = 3.2820 Å, b = 3.2820 Å, c = 13.5254 Å
α = 90.00°, β = 90.00°, γ = 120.00°
Last column: nearest neighbours and their distance in Å.
Sites, in units of the cell vectors:
Hf: 0.0000 0.0000 0.1541  3 C 2.29
Hf: 0.0000 0.0000 0.8459  3 C 2.29
Hf: 0.3333 0.6667 0.3411  3 C 2.27
Hf: 0.3333 0.6667 0.6589  3 C 2.27
Si: 0.3333 0.6667 0.0000  6 Hf 2.82
Ge: 0.0000 0.0000 0.5000  6 Hf 2.87
C: 0.6667 0.3333 0.2487  6 Hf 2.27-2.29
C: 0.6667 0.3333 0.7513  6 Hf 2.27-2.29

## Properties
Calculated total energy   -9.35 eV/atom
Space-group type   No. 187

---

# 8
Computed, not measured: a relaxed structure of InCuPdW at the PBE level of DFT.

a = 4.5143 Å, b = 4.5143 Å, c = 4.5143 Å
α = 60.00°, β = 60.00°, γ = 60.00°
Last column: nearest neighbours and their distance in Å.
Sites, in units of the cell vectors:
In: 0.0000 0.0000 0.0000  4 W 2.76, 4 Cu 2.76
Cu: 0.2500 0.2500 0.2500  4 Pd 2.76, 4 In 2.76
Pd: 0.5000 0.5000 0.5000  4 W 2.76, 4 Cu 2.76
W: 0.7500 0.7500 0.7500  4 Pd 2.76, 4 In 2.76

## Properties
E above lowest polymorph   2.35 kcal/mol of atoms
Calculated total energy   -5.68 eV/atom
Space-group type   No. 216

---

# 9
Computed, not measured: a relaxed structure of Ta2GaC at the PBE level of DFT.

a = 3.1269 Å, b = 3.1269 Å, c = 13.6216 Å
α = 90.00°, β = 90.00°, γ = 120.00°
Last column: nearest neighbours and their distance in Å.
Sites, in units of the cell vectors:
Ta: 0.0000 0.0000 0.1589  3 C 2.19
Ta: 0.0000 0.0000 0.8411  3 C 2.19
Ta: 0.3333 0.6667 0.3397  3 C 2.18
Ta: 0.3333 0.6667 0.6603  3 C 2.18
Ga: 0.0000 0.0000 0.5000  6 Ta 2.83, 6 Ga 3.13
Ga: 0.3333 0.6667 0.0000  6 Ta 2.82, 6 Ga 3.13
C: 0.6667 0.3333 0.2494  6 Ta 2.18-2.19
C: 0.6667 0.3333 0.7506  6 Ta 2.18-2.19

## Properties
Calculated total energy   -9.51 eV/atom
Space-group type   No. 187

---

# 10
Computed, not measured: a relaxed structure of NaYHgSe3 at the PBE level of DFT.

a = 8.2886 Å, b = 4.2228 Å, c = 17.4509 Å
α = 90.00°, β = 90.00°, γ = 90.00°
Last column: nearest neighbours and their distance in Å.
Sites, in units of the cell vectors:
Na: 0.0895 0.2500 0.1929  6 Se 3.11-3.25, 2 Hg 3.40
Na: 0.4105 0.7500 0.6929  6 Se 3.11-3.25, 2 Hg 3.40
Na: 0.5895 0.2500 0.3071  6 Se 3.11-3.25, 2 Hg 3.40
Na: 0.9105 0.7500 0.8071  6 Se 3.11-3.25, 2 Hg 3.40
Y: 0.2214 0.2500 0.9635  7 Se 2.85-3.12
Y: 0.2786 0.7500 0.4635  7 Se 2.85-3.12
Y: 0.7214 0.2500 0.5365  7 Se 2.85-3.12
Y: 0.7786 0.7500 0.0365  7 Se 2.85-3.12
Hg: 0.0421 0.2500 0.6678  4 Se 2.61-2.85
Hg: 0.4579 0.7500 0.1678  4 Se 2.61-2.85
Hg: 0.5421 0.2500 0.8322  4 Se 2.61-2.85
Hg: 0.9579 0.7500 0.3322  4 Se 2.61-2.85
Se: 0.0113 0.2500 0.4274  2 Hg 2.72
Se: 0.1244 0.7500 0.0631  3 Y 2.85-2.90, 2 Na 3.11
Se: 0.2081 0.2500 0.7947  2 Hg 2.61-2.85
Se: 0.2919 0.7500 0.2947  2 Hg 2.61-2.85
Se: 0.3756 0.2500 0.5631  3 Y 2.85-2.90, 2 Na 3.11
Se: 0.4887 0.7500 0.9274  2 Hg 2.72
Se: 0.5113 0.2500 0.0726  2 Hg 2.72
Se: 0.6244 0.7500 0.4369  3 Y 2.85-2.90, 2 Na 3.11
Se: 0.7081 0.2500 0.7053  2 Hg 2.61-2.85
Se: 0.7919 0.7500 0.2053  2 Hg 2.61-2.85
Se: 0.8756 0.2500 0.9369  3 Y 2.85-2.90, 2 Na 3.11
Se: 0.9887 0.7500 0.5726  2 Hg 2.72

## Properties
E above lowest polymorph   1.17 kcal/mol of atoms
Calculated total energy   -4.15 eV/atom
Space-group type   No. 62

---

# 11
Computed, not measured: a relaxed structure of Pr4HoNb2 at the PBE level of DFT.

a = 7.7096 Å, b = 7.7096 Å, c = 3.4498 Å
α = 90.00°, β = 90.00°, γ = 90.00°
Last column: nearest neighbours and their distance in Å.
Sites, in units of the cell vectors:
Pr: 0.2195 0.2195 0.4959  4 Nb 3.24-3.25, 4 Pr 3.38-3.45, 2 Ho 3.50-3.52
Pr: 0.2195 0.7805 0.5041  4 Nb 3.24-3.25, 4 Pr 3.38-3.45, 2 Ho 3.50-3.52
Pr: 0.7805 0.2195 0.5041  4 Nb 3.24-3.25, 4 Pr 3.38-3.45, 2 Ho 3.50-3.52
Pr: 0.7805 0.7805 0.4959  4 Nb 3.24-3.25, 4 Pr 3.38-3.45, 2 Ho 3.50-3.52
Ho: 0.5000 0.5000 0.0000  2 Ho 3.45, 8 Pr 3.50-3.52, 4 Nb 3.85
Nb: 0.0000 0.5000 0.0000  8 Pr 3.24-3.25, 2 Nb 3.45
Nb: 0.5000 0.0000 0.0000  8 Pr 3.24-3.25, 2 Nb 3.45

## Properties
Calculated total energy   -5.84 eV/atom
Space-group type   No. 111

---

# 12
Computed, not measured: a relaxed structure of Ni3Mo at the PBE level of DFT.

a = 4.5086 Å, b = 4.5086 Å, c = 4.5086 Å
α = 133.54°, β = 133.54°, γ = 67.81°
Last column: nearest neighbours and their distance in Å.
Sites, in units of the cell vectors:
Ni: 0.0000 0.0000 0.0000  4 Mo 2.51, 8 Ni 2.58
Ni: 0.2500 0.7500 0.5000  8 Ni 2.51-2.58, 4 Mo 2.58
Ni: 0.7500 0.2500 0.5000  8 Ni 2.51-2.58, 4 Mo 2.58
Mo: 0.5000 0.5000 0.0000  12 Ni 2.51-2.58

## Properties
Calculated total energy   -6.96 eV/atom
Space-group type   No. 139

---

# 13
Computed, not measured: a relaxed structure of KCdBiSe3 at the PBE level of DFT.

a = 7.7942 Å, b = 7.7942 Å, c = 11.3444 Å
α = 90.00°, β = 90.00°, γ = 147.67°
Last column: nearest neighbours and their distance in Å.
Sites, in units of the cell vectors:
K: 0.2447 0.7553 0.7500  6 Se 3.40-3.63
K: 0.7553 0.2447 0.2500  6 Se 3.40-3.63
Cd: 0.0408 0.9592 0.2500  4 Se 2.64-2.73
Cd: 0.9592 0.0408 0.7500  4 Se 2.64-2.73
Bi: 0.5000 0.5000 0.0000  6 Se 3.00-3.02
Bi: 0.5000 0.5000 0.5000  6 Se 3.00-3.02
Se: 0.1324 0.8676 0.0515  1 Cd 2.64
Se: 0.1324 0.8676 0.4485  1 Cd 2.64
Se: 0.4299 0.5701 0.2500  2 Cd 2.73, 2 Bi 3.02
Se: 0.5701 0.4299 0.7500  2 Cd 2.73, 2 Bi 3.02
Se: 0.8676 0.1324 0.5515  1 Cd 2.64
Se: 0.8676 0.1324 0.9485  1 Cd 2.64

## Properties
Calculated total energy   -3.45 eV/atom
Space-group type   No. 63

---

# 14
Computed, not measured: a relaxed structure of Ba9Nb2CN10O at the PBE level of DFT.

a = 8.0243 Å, b = 9.6521 Å, c = 12.6924 Å
α = 75.96°, β = 85.64°, γ = 87.82°
Last column: nearest neighbours and their distance in Å.
Sites, in units of the cell vectors:
Ba: 0.0003 0.1805 0.0783  5 N 2.70-2.96
Ba: 0.9997 0.8195 0.9217  5 N 2.70-2.96
Ba: 0.0305 0.8791 0.3714  1 O 2.74, 4 N 2.85-3.04
Ba: 0.0393 0.5689 0.2269  5 N 2.84-2.90, 1 O 2.87
Ba: 0.2318 0.7902 0.6594  5 N 2.70-2.98
Ba: 0.2452 0.4882 0.4991  1 O 2.67, 3 N 2.70-2.94
Ba: 0.3290 0.9188 0.1176  3 N 2.63-2.83, 1 O 2.91
Ba: 0.4648 0.2626 0.1186  3 N 2.66-2.77, 1 C 2.97
Ba: 0.4839 0.4309 0.7771  3 N 2.63-2.93, 1 O 2.63
Ba: 0.4916 0.1168 0.6073  5 N 2.80-3.11, 1 O 2.89
Ba: 0.5084 0.8832 0.3927  5 N 2.80-3.11, 1 O 2.89
Ba: 0.5161 0.5691 0.2229  3 N 2.63-2.93, 1 O 2.63
Ba: 0.5352 0.7374 0.8814  3 N 2.66-2.77, 1 C 2.97
Ba: 0.6710 0.0812 0.8824  3 N 2.63-2.83, 1 O 2.91
Ba: 0.7548 0.5118 0.5009  1 O 2.67, 3 N 2.70-2.94
Ba: 0.7682 0.2098 0.3406  5 N 2.70-2.98
Ba: 0.9607 0.4311 0.7731  5 N 2.84-2.90, 1 O 2.87
Ba: 0.9695 0.1209 0.6286  1 O 2.74, 4 N 2.85-3.04
Nb: 0.2300 0.1350 0.8363  4 N 1.94-1.99
Nb: 0.2311 0.2043 0.3795  4 N 1.96-2.03
Nb: 0.7689 0.7957 0.6205  4 N 1.96-2.03
Nb: 0.7700 0.8650 0.1637  4 N 1.94-1.99
C: 0.2378 0.5594 0.9658  2 N 1.24
C: 0.7622 0.4406 0.0342  2 N 1.24
N: 0.0080 0.8682 0.1219  1 Nb 1.94
N: 0.0402 0.3323 0.4168  1 Nb 2.03
N: 0.1955 0.5743 0.8713  1 C 1.24
N: 0.2062 0.1340 0.2471  1 Nb 1.98
N: 0.2380 0.0310 0.4984  1 Nb 1.96
N: 0.2576 0.2951 0.7041  1 Nb 1.99
N: 0.2864 0.5554 0.0572  1 C 1.24
N: 0.3064 0.9517 0.8017  1 Nb 1.99
N: 0.3538 0.1754 0.9541  1 Nb 1.98
N: 0.4422 0.3089 0.3762  1 Nb 2.00
N: 0.5578 0.6911 0.6238  1 Nb 2.00
N: 0.6462 0.8246 0.0459  1 Nb 1.98
N: 0.6936 0.0483 0.1983  1 Nb 1.99
N: 0.7136 0.4446 0.9428  1 C 1.24
N: 0.7424 0.7049 0.2959  1 Nb 1.99
N: 0.7620 0.9690 0.5016  1 Nb 1.96
N: 0.7938 0.8660 0.7529  1 Nb 1.98
N: 0.8045 0.4257 0.1287  1 C 1.24
N: 0.9598 0.6677 0.5832  1 Nb 2.03
N: 0.9920 0.1318 0.8781  1 Nb 1.94
O: 0.2840 0.7020 0.3212  6 Ba 2.63-2.91
O: 0.7160 0.2980 0.6788  6 Ba 2.63-2.91

## Properties
Calculated total energy   -6.85 eV/atom
Space-group type   No. 2

---

# 15
Computed, not measured: a relaxed structure of Dy2ZrSb3 at the PBE level of DFT.

a = 4.2809 Å, b = 4.2809 Å, c = 10.5750 Å
α = 90.00°, β = 90.00°, γ = 120.00°
Last column: nearest neighbours and their distance in Å.
Sites, in units of the cell vectors:
Dy: 0.3333 0.6667 0.1724  6 Sb 3.07
Dy: 0.6667 0.3333 0.8276  6 Sb 3.07
Zr: 0.0000 0.0000 0.5000  6 Sb 2.97
Sb: 0.0000 0.0000 0.0000  6 Dy 3.07
Sb: 0.3333 0.6667 0.6553  3 Zr 2.97, 3 Dy 3.07
Sb: 0.6667 0.3333 0.3447  3 Zr 2.97, 3 Dy 3.07

## Properties
Calculated total energy   -5.96 eV/atom
Space-group type   No. 164

---

# 16
Computed, not measured: a relaxed structure of YHoTeO2 at the PBE level of DFT.

a = 6.7926 Å, b = 6.7926 Å, c = 6.7926 Å
α = 146.55°, β = 146.55°, γ = 48.03°
Last column: nearest neighbours and their distance in Å.
Sites, in units of the cell vectors:
Y: 0.0000 0.0000 0.0000  4 O 2.25
Ho: 0.3248 0.3248 0.0000  4 O 2.23
Te: 0.6617 0.6617 0.0000  4 Y 3.42, 4 Ho 3.43, 8 O 3.65-3.68
O: 0.4105 0.9105 0.5000  2 Ho 2.23, 2 Y 2.25
O: 0.9105 0.4105 0.5000  2 Ho 2.23, 2 Y 2.25

## Properties
E above lowest polymorph   0.00 kcal/mol of atoms
Calculated total energy   -7.77 eV/atom
Space-group type   No. 107

---

# 17
Computed, not measured: a relaxed structure of K2NiAgBr6 at the PBE level of DFT.

a = 7.2999 Å, b = 7.2999 Å, c = 7.2999 Å
α = 61.87°, β = 61.87°, γ = 61.87°
Last column: nearest neighbours and their distance in Å.
Sites, in units of the cell vectors:
K: 0.0000 0.0000 0.0000  9 Br 3.34-3.73
K: 0.4994 0.4994 0.4994  9 Br 3.34-3.72
Ni: 0.7501 0.7501 0.7501  6 Br 2.51
Ag: 0.2506 0.2506 0.2506  6 Br 2.79
Br: 0.0427 0.9311 0.5193  1 Ni 2.51, 1 Ag 2.79
Br: 0.4577 0.5693 0.9803  1 Ni 2.51, 1 Ag 2.79
Br: 0.5193 0.0427 0.9311  1 Ni 2.51, 1 Ag 2.79
Br: 0.5693 0.9803 0.4577  1 Ni 2.51, 1 Ag 2.79
Br: 0.9311 0.5193 0.0427  1 Ni 2.51, 1 Ag 2.79
Br: 0.9803 0.4577 0.5693  1 Ni 2.51, 1 Ag 2.79

## Properties
Calculated total energy   -2.93 eV/atom
Space-group type   No. 146

---

# 18
Computed, not measured: a relaxed structure of KGaBAu at the PBE level of DFT.

a = 4.8331 Å, b = 4.8331 Å, c = 4.8331 Å
α = 60.00°, β = 60.00°, γ = 60.00°
Last column: nearest neighbours and their distance in Å.
Sites, in units of the cell vectors:
K: 0.0000 0.0000 0.0000  4 Ga 2.96, 4 Au 2.96
Ga: 0.2500 0.2500 0.2500  4 B 2.96, 4 K 2.96
B: 0.5000 0.5000 0.5000  4 Au 2.96, 4 Ga 2.96
Au: 0.7500 0.7500 0.7500  4 B 2.96, 4 K 2.96

## Properties
E above lowest polymorph   3.29 kcal/mol of atoms
Calculated total energy   -2.51 eV/atom
Space-group type   No. 216

---

# 19
Computed, not measured: a relaxed structure of TaFeHgGe at the PBE level of DFT.

a = 4.5474 Å, b = 4.5474 Å, c = 4.5474 Å
α = 60.00°, β = 60.00°, γ = 60.00°
Last column: nearest neighbours and their distance in Å.
Sites, in units of the cell vectors:
Ta: 0.0000 0.0000 0.0000  4 Hg 2.78, 4 Ge 2.78
Fe: 0.5000 0.5000 0.5000  4 Ge 2.78, 4 Hg 2.78
Hg: 0.7500 0.7500 0.7500  4 Ta 2.78, 4 Fe 2.78
Ge: 0.2500 0.2500 0.2500  4 Ta 2.78, 4 Fe 2.78

## Properties
E above lowest polymorph   0.00 kcal/mol of atoms
Calculated total energy   -5.80 eV/atom
Space-group type   No. 216

---

# 20
Computed, not measured: a relaxed structure of GdYHo at the PBE level of DFT.

a = 5.4211 Å, b = 5.4211 Å, c = 5.4211 Å
α = 60.00°, β = 60.00°, γ = 60.00°
Last column: nearest neighbours and their distance in Å.
Sites, in units of the cell vectors:
Gd: 0.0000 0.0000 0.0000  4 Ho 3.32
Y: 0.5000 0.5000 0.5000  4 Ho 3.32
Ho: 0.2500 0.2500 0.2500  4 Y 3.32, 4 Gd 3.32

## Properties
E above lowest polymorph   0.00 kcal/mol of atoms
Calculated total energy   -4.51 eV/atom
Space-group type   No. 216